[1]
Computed, not measured: a crystal of Li2BeTl2 relaxed with PBEsol at the meta-GGA SCAN level of DFT.

Output
Space group: P4/mbm (127)
ΔH_f (0 K), kJ/mol of atoms: 2.71
Total magnetic moment, μB per formula unit: 0.00

a = 4.4658 Å, b = 6.6317 Å, c = 6.6317 Å
α = 90.00°, β = 90.00°, γ = 90.00°
Element x y z (fractional)
Li  0.5000  0.1554  0.6554
Li  0.5000  0.8446  0.3446
Li  0.5000  0.6554  0.8446
Li  0.5000  0.3446  0.1554
Be  0.0000  0.0000  0.0000
Be  0.0000  0.5000  0.5000
Tl  0.0000  0.3378  0.8378
Tl  0.0000  0.8378  0.6622
Tl  0.0000  0.1622  0.3378
Tl  0.0000  0.6622  0.1622

***

[2]
Computed, not measured: a crystal of CaAg2BiRu relaxed with PBEsol at the meta-GGA SCAN level of DFT.

Output
Space group: P4/mmm (123)
ΔH_f (0 K), kJ/mol of atoms: 71.99
Total magnetic moment, μB per formula unit: 1.31

a = 4.8064 Å, b = 5.0601 Å, c = 5.0601 Å
α = 90.00°, β = 90.00°, γ = 90.00°
Element x y z (fractional)
Bi  0.5000  0.5000  0.5000
Ca  0.5000  0.0000  0.0000
Ag  0.0000  0.5000  0.0000
Ag  0.0000  0.0000  0.5000
Ru  0.0000  0.0000  0.0000

***

[3]
Computed, not measured: a crystal of Sr2HAu relaxed with PBEsol at the meta-GGA SCAN level of DFT.

Output
Total DFT energy (no corrections), eV/cell: -118.716
Space group: Fm-3m (225)
Total magnetic moment, μB per formula unit: 0.00

a = 5.1994 Å, b = 5.1994 Å, c = 5.1994 Å
α = 60.00°, β = 60.00°, γ = 60.00°
Element x y z (fractional)
H  0.0000  0.0000  0.0000
Sr  0.7500  0.7500  0.7500
Sr  0.2500  0.2500  0.2500
Au  0.5000  0.5000  0.5000

***

[4]
Computed, not measured: a crystal of BaSc2Se relaxed with PBEsol at the meta-GGA SCAN level of DFT.

Output
Formation energy (no corrections), eV/f.u.: -2.2
Space group: R-3m (166)
Total magnetic moment, μB per formula unit: 0.00

a = 3.6430 Å, b = 3.6430 Å, c = 10.1058 Å
α = 79.62°, β = 79.62°, γ = 60.00°
Element x y z (fractional)
Se  0.5000  0.5000  0.5000
Sc  0.8856  0.8856  0.3432
Sc  0.1144  0.1144  0.6568
Ba  0.0000  0.0000  0.0000